Entry 1:
Compound: CaV2ReB
Source: the Alexandria database
Functional: PBE
Structure: optimized geometry

Geometry as extended XYZ:
```
5
Lattice="4.095 0.000 0.000 0.000 4.095 0.000 0.000 0.000 4.691" Properties=species:S:1:pos:R:3 pbc="T T T"
Ca 0.000 0.000 0.000
V 0.000 2.047 2.346
V 2.047 0.000 2.346
Re 2.047 2.047 0.000
B 0.000 0.000 2.346
```

Magnetization in μB/f.u.: 0.03
Calculated total energy in eV per atom: -7.016
Energy above the lowest structure with this stoichiometry in eV/atom: 0.000



Entry 2:
Compound: Ca2VReB
Source: the Alexandria database
Functional: PBE
Structure: optimized geometry

Geometry as extended XYZ:
```
5
Lattice="5.592 0.000 0.000 0.000 5.592 0.000 0.000 0.000 4.041" Properties=species:S:1:pos:R:3 pbc="T T T"
Ca 0.000 2.796 0.000
Ca 2.796 0.000 0.000
V 0.000 0.000 2.021
Re 2.796 2.796 0.000
B 2.796 2.796 2.021
```

Magnetization in μB/f.u.: 0.20
Calculated total energy in eV per atom: -4.996



Entry 3:
Compound: CaB4Rh
Source: the Alexandria database
Functional: PBE
Structure: optimized geometry

Geometry as extended XYZ:
```
12
Lattice="3.689 -4.706 0.000 3.689 4.706 0.000 0.000 0.000 3.537" Properties=species:S:1:pos:R:3 pbc="T T T"
Ca 3.689 2.823 0.000
Ca 3.689 -2.823 0.000
B 2.064 1.491 1.768
B 0.922 0.000 1.768
B 3.689 0.855 1.768
B 2.064 -1.491 1.768
B 5.314 1.491 1.768
B 3.689 -0.855 1.768
B 6.456 0.000 1.768
B 5.314 -1.491 1.768
Rh 2.316 0.000 0.000
Rh 5.062 0.000 0.000
```

Magnetization in μB/f.u.: 0.00
Calculated total energy in eV per atom: -6.410



no.,E_form (eV per formula unit)
1,4.3
2,7.3
3,-2.4